This record from Alexandria via LeMat-Bulk describes crystalline Li2TlIn2Hg2 at its relaxed geometry. The functional is PBE.

Output
* formation energy: -0.14 eV/atom
* space group: R-3m

```
7
Lattice="2.456 1.418 8.053 -2.456 1.418 8.053 0.000 -2.836 8.053" Properties=species:S:1:pos:R:3 pbc="T T T"
Li 0.000 0.000 3.223
Li 0.000 0.000 20.936
Tl 0.000 0.000 0.000
In 0.000 0.000 6.404
In 0.000 0.000 17.755
Hg 0.000 0.000 10.584
Hg 0.000 0.000 13.575
```

=====

This record from Alexandria via LeMat-Bulk describes crystalline LiRuRh2 at its relaxed geometry. The functional is PBE.

Output
* formation energy: 0.18 eV/atom
* offset from the most stable computed form: 0.1969 eV/atom
* space group: F-43m

```
4
Lattice="0.000 3.007 3.007 3.007 0.000 3.007 3.007 3.007 0.000" Properties=species:S:1:pos:R:3 pbc="T T T"
Li 0.000 0.000 0.000
Ru 4.510 4.510 4.510
Rh 1.503 1.503 1.503
Rh 3.007 3.007 3.007
```

=====

This record from Alexandria via LeMat-Bulk describes crystalline KCa2Ta at its relaxed geometry. The functional is PBE.

Output
* formation energy: 0.64 eV/atom
* offset from the most stable computed form: 0.0000 eV/atom
* space group: P4/mmm

```
4
Lattice="3.414 0.000 0.000 0.000 3.414 0.000 0.000 0.000 11.930" Properties=species:S:1:pos:R:3 pbc="T T T"
K 0.000 0.000 0.000
Ca 1.707 1.707 3.756
Ca 1.707 1.707 8.174
Ta 0.000 0.000 5.965
```

=====

This record from Alexandria via LeMat-Bulk describes crystalline SrCaCl at its relaxed geometry. The functional is PBE.

Output
* offset from the most stable computed form: 0.0082 eV/atom
* space group: Amm2

```
6
Lattice="14.771 0.000 0.000 0.000 2.024 3.507 0.000 -2.024 3.507" Properties=species:S:1:pos:R:3 pbc="T T T"
Sr 3.261 0.000 0.000
Sr 11.510 0.000 0.000
Ca 0.000 0.000 4.682
Ca 7.385 0.000 4.672
Cl 5.569 0.000 2.335
Cl 9.202 0.000 2.335
```

=====

This record from Alexandria via LeMat-Bulk describes crystalline Be5CdAs4 at its relaxed geometry. The functional is PBE.

Output
* formation energy: 0.15 eV/atom
* space group: Immm

```
10
Lattice="-1.845 3.426 6.423 1.845 -3.426 6.423 1.845 3.426 -6.423" Properties=species:S:1:pos:R:3 pbc="T T T"
Be 0.000 0.000 0.000
Be 1.845 2.162 -2.189
Be 1.845 2.162 2.189
Be 0.000 1.264 4.234
Be 0.000 1.264 8.613
Cd 0.000 3.426 0.000
As 1.845 1.432 0.000
As 1.845 0.000 3.341
As 0.000 3.426 3.082
As 0.000 1.993 6.423
```

=====

This record from Alexandria via LeMat-Bulk describes crystalline BaCo2P at its relaxed geometry. The functional is PBE.

Output
* formation energy: -0.24 eV/atom
* space group: I4_1/amd

```
8
Lattice="-2.413 2.413 7.457 2.413 -2.413 7.457 2.413 2.413 -7.457" Properties=species:S:1:pos:R:3 pbc="T T T"
Ba 2.413 1.206 1.864
Ba 0.000 1.206 5.593
Co 0.000 0.000 0.000
Co 1.206 1.206 -3.729
Co 1.206 -1.206 3.729
Co 0.000 2.413 0.000
P 2.413 -1.206 5.593
P 0.000 3.619 1.864
```

=====

Number 1: raw total energy -1.90 eV/atom. Number 2: raw total energy -6.29 eV/atom. Number 3: raw total energy -3.60 eV/atom. Number 4: raw total energy -2.89 eV/atom. Number 5: raw total energy -3.66 eV/atom. Number 6: raw total energy -5.62 eV/atom.